[1]
A plane-wave DFT calculation with PBE-GGA was carried out for a geometry-optimized Si2NiCl structure.

Unit cell a=4.508 b=7.045 c=4.241 alpha=90.00 beta=90.00 gamma=90.00
Space group Cmmm (No. 65)
Symmetry-distinct sites (fractional):
Si (0.000, 0.171, 0.000) (multiplicity 4)
Ni (0.000, 0.000, 0.500) (multiplicity 2)
Cl (0.000, 0.500, 0.500) (multiplicity 2)

## Properties
Raw formation energy   0.0747 eV per atom
Crystal system   orthorhombic
Density of states at the Fermi level   0.389 states/eV/atom

[2]
A plane-wave DFT calculation with PBE-GGA was carried out for a geometry-optimized UAlTc structure.

Unit cell a=10.942 b=3.271 c=6.214 alpha=90.00 beta=109.77 gamma=90.00
Space group C2/m (No. 12)
Symmetry-distinct sites (fractional):
U (0.167, 0.000, 0.353) (multiplicity 4)
Al (0.141, 0.000, 0.831) (multiplicity 4)
Tc (0.000, 0.500, 0.000) (multiplicity 2)
Tc (0.000, 0.500, 0.500) (multiplicity 2)

## Properties
Crystal system   monoclinic
Energy of formation from the pure elements   -300 meV/atom
Density of states at the Fermi level   1.266 states/eV/atom

[3]
A plane-wave DFT calculation with PBE-GGA was carried out for a geometry-optimized CrCu3Sb structure.

Unit cell a=4.794 b=4.794 c=4.794 alpha=90.00 beta=90.00 gamma=90.00
Space group Pm-3m (No. 221)
Symmetry-distinct sites (fractional):
Cr (0.000, 0.000, 0.000) (multiplicity 1)
Cu (0.000, 0.500, 0.500) (multiplicity 3)
Sb (0.500, 0.500, 0.500) (multiplicity 1)

## Properties
Raw formation energy   0.9384 eV per atom
Crystal system   cubic
Density of states at the Fermi level   0.319 states/eV/atom

[4]
A plane-wave DFT calculation with PBE-GGA was carried out for a geometry-optimized CaSiSb2 structure.

Unit cell a=4.544 b=4.020 c=6.670 alpha=90.00 beta=109.11 gamma=90.00
Space group Pm (No. 6)
Symmetry-distinct sites (fractional):
Ca (0.000, 0.000, 0.000) (multiplicity 1)
Si (0.584, 0.500, 0.191) (multiplicity 1)
Sb (0.401, 0.500, 0.788) (multiplicity 1)
Sb (0.741, 0.000, 0.447) (multiplicity 1)

## Properties
Raw formation energy   -0.2169 eV per atom
Crystal system   monoclinic
Density of states at the Fermi level   0.411 states/eV/atom

| no. | calculated density (Mg/m³) | uncorrected energy (eV per cell) | total magnetic moment (μB per atom) |
| --- | --- | --- | --- |
| 1 | 3.71 | -36.35 | 0.00 |
| 2 | 11.52 | -105.19 | 0.00 |
| 3 | 5.49 | -21.34 | 1.02 |
| 4 | 4.50 | -16.54 | 0.00 |